A relaxed structure of NbIn2Cu. Source: Alexandria via LeMat-Bulk, functional GGA-PBE.

Total moment, μB per atom: 0.385
Formation enthalpy at 0 K, eV per atom: 0.363

Cell: 6.7492 6.7492 6.7492 Å, 90.00 90.00 90.00°
Space group Fm-3m (No. 225)
Symmetry-distinct sites (fractional):
Nb 0.0000 0.0000 0.0000 [4 per cell]
In 0.2500 0.2500 0.2500 [8 per cell]
Cu 0.0000 0.0000 0.5000 [4 per cell]